Compound: TbPrU2As4
Source: Alexandria via LeMat-Bulk
Functional: PBE
Structure: relaxed

Values from the calculation:
M_tot in Bohr magnetons per cell: 4.9
Formation enthalpy at 0 K in kJ/mol of atoms: -108.2

Unit cell a=7.1325 b=4.1157 c=7.2967 alpha=90.00 beta=108.99 gamma=90.00
Space group P2/m (No. 10)
Asymmetric unit:
Tb: 0.0000 0.0000 0.0000 [1 per cell]
Pr: 0.5000 0.5000 0.0000 [1 per cell]
U: 0.0000 0.5000 0.5000 [1 per cell]
U: 0.5000 0.0000 0.5000 [1 per cell]
As: 0.2412 0.0000 0.7388 [2 per cell]
As: 0.2474 0.5000 0.2573 [2 per cell]

---

Compound: AlTlMo3
Source: Alexandria via LeMat-Bulk
Functional: PBE
Structure: relaxed

Values from the calculation:
M_tot in Bohr magnetons per cell: 0.0
Energy above the most stable polymorph in this dataset in meV per atom: 1140
Formation enthalpy at 0 K in kJ/mol of atoms: 247.5

Unit cell a=4.9511 b=4.9511 c=4.9511 alpha=90.00 beta=90.00 gamma=90.00
Space group Pm-3m (No. 221)
Asymmetric unit:
Al: 0.0000 0.0000 0.0000 [1 per cell]
Tl: 0.5000 0.5000 0.5000 [1 per cell]
Mo: 0.0000 0.5000 0.5000 [3 per cell]

---

Compound: NiBi3Pb
Source: Alexandria via LeMat-Bulk
Functional: PBE
Structure: relaxed

Values from the calculation:
M_tot in Bohr magnetons per cell: 0.0
Energy above the most stable polymorph in this dataset in meV per atom: 0
Formation enthalpy at 0 K in kJ/mol of atoms: 11.9

Unit cell a=20.2225 b=5.3365 c=5.4278 alpha=90.00 beta=105.27 gamma=90.00
Space group C2/m (No. 12)
Asymmetric unit:
Ni: 0.1762 0.0000 0.4298 [4 per cell]
Bi: 0.0426 0.0000 0.2922 [4 per cell]
Bi: 0.1839 0.5000 0.4302 [4 per cell]
Bi: 0.2005 0.0000 0.9524 [4 per cell]
Pb: 0.0644 0.5000 0.8116 [4 per cell]

---

Compound: Mg2Sb2Mo
Source: Alexandria via LeMat-Bulk
Functional: PBE
Structure: relaxed

Values from the calculation:
Raw formation energy in meV/atom: 81
M_tot in Bohr magnetons per cell: 0.0

Unit cell a=7.1418 b=7.1418 c=4.2981 alpha=90.00 beta=90.00 gamma=90.00
Space group P4/mbm (No. 127)
Asymmetric unit:
Mg: 0.1663 0.3337 0.0000 [4 per cell]
Sb: 0.1470 0.6470 0.5000 [4 per cell]
Mo: 0.0000 0.0000 0.5000 [2 per cell]

---

Compound: CaRhBr2
Source: Alexandria via LeMat-Bulk
Functional: PBE
Structure: relaxed

Values from the calculation:
Raw formation energy in meV/atom: -625
M_tot in Bohr magnetons per cell: 4.0
Energy above the most stable polymorph in this dataset in meV per atom: 194

Unit cell a=5.1111 b=5.1111 c=16.3303 alpha=90.00 beta=90.00 gamma=90.00
Space group I-42d (No. 122)
Asymmetric unit:
Ca: 0.0000 0.0000 0.0000 [4 per cell]
Rh: 0.0000 0.0000 0.5000 [4 per cell]
Br: 0.2123 0.2500 0.6250 [8 per cell]

---

Compound: Pu3Hg2Pd4
Source: Alexandria via LeMat-Bulk
Functional: PBE
Structure: relaxed

Values from the calculation:
M_tot in Bohr magnetons per cell: 5.9
Formation enthalpy at 0 K in kJ/mol of atoms: -34.4

Unit cell a=4.8415 b=4.8415 c=9.0745 alpha=90.00 beta=90.00 gamma=120.00
Space group P-3m1 (No. 164)
Asymmetric unit:
Pu: 0.0000 0.0000 0.0000 [1 per cell]
Pu: 0.3333 0.6667 0.5652 [2 per cell]
Hg: 0.3333 0.6667 0.2119 [2 per cell]
Pd: 0.0000 0.0000 0.3389 [2 per cell]
Pd: 0.3333 0.6667 0.8914 [2 per cell]

---

Compound: Ho7Zn2Cu2
Source: Alexandria via LeMat-Bulk
Functional: PBE
Structure: relaxed

Values from the calculation:
M_tot in Bohr magnetons per cell: 0.0
Formation enthalpy at 0 K in kJ/mol of atoms: 0.1

Unit cell a=7.5238 b=10.8763 c=7.0537 alpha=90.00 beta=90.00 gamma=90.00
Space group Cmmm (No. 65)
Asymmetric unit:
Ho: 0.0000 0.0000 0.0000 [2 per cell]
Ho: 0.0000 0.5000 0.2549 [4 per cell]
Ho: 0.2500 0.2500 0.2669 [8 per cell]
Zn: 0.1666 0.0000 0.5000 [4 per cell]
Cu: 0.0000 0.3004 0.0000 [4 per cell]

---

Compound: SrLa2Br6
Source: Alexandria via LeMat-Bulk
Functional: PBE
Structure: relaxed

Values from the calculation:
Raw formation energy in meV/atom: -1843
M_tot in Bohr magnetons per cell: 1.1

Unit cell a=16.4373 b=10.7160 c=7.1514 alpha=90.00 beta=110.94 gamma=90.00
Space group C2/c (No. 15)
Asymmetric unit:
Sr: 0.0000 0.1839 0.2500 [4 per cell]
La: 0.2344 0.4819 0.9342 [8 per cell]
Br: 0.0924 0.3969 0.5507 [8 per cell]
Br: 0.1060 0.0579 0.6777 [8 per cell]
Br: 0.1820 0.2663 0.1827 [8 per cell]

---

Compound: ScFeNi4
Source: Alexandria via LeMat-Bulk
Functional: PBE
Structure: relaxed

Values from the calculation:
M_tot in Bohr magnetons per cell: 8.1
Formation enthalpy at 0 K in kJ/mol of atoms: -10.7

Unit cell a=6.9219 b=3.6560 c=6.2087 alpha=90.00 beta=90.00 gamma=90.00
Space group Pmma (No. 51)
Asymmetric unit:
Sc: 0.2500 0.0000 0.1487 [2 per cell]
Fe: 0.2500 0.0000 0.7358 [2 per cell]
Ni: 0.0000 0.0000 0.5000 [2 per cell]
Ni: 0.0462 0.5000 0.8054 [4 per cell]
Ni: 0.2500 0.5000 0.4643 [2 per cell]

---

Compound: Mg2GePN4
Source: Alexandria via LeMat-Bulk
Functional: PBE
Structure: relaxed

Values from the calculation:
Raw formation energy in meV/atom: -578
M_tot in Bohr magnetons per cell: 0.0

Unit cell a=6.7546 b=5.5769 c=4.9779 alpha=90.00 beta=90.00 gamma=90.00
Space group Pmn2_1 (No. 31)
Asymmetric unit:
Mg: 0.2482 0.1758 0.0000 [4 per cell]
Ge: 0.0000 0.6761 0.0034 [2 per cell]
P: 0.0000 0.3390 0.5142 [2 per cell]
N: 0.0000 0.3610 0.8504 [2 per cell]
N: 0.0000 0.6185 0.3902 [2 per cell]
N: 0.1995 0.1870 0.4201 [4 per cell]

---

Compound: La4Pm3Th2
Source: Alexandria via LeMat-Bulk
Functional: PBE
Structure: relaxed

Values from the calculation:
M_tot in Bohr magnetons per cell: 0.0
Formation enthalpy at 0 K in kJ/mol of atoms: 4.3

Unit cell a=3.7030 b=6.3029 c=14.1443 alpha=85.93 beta=82.48 gamma=72.94
Space group P-1 (No. 2)
Asymmetric unit:
La: 0.1045 0.2351 0.0532 [2 per cell]
La: 0.2204 0.4401 0.6174 [2 per cell]
Pm: 0.0000 0.0000 0.5000 [1 per cell]
Pm: 0.4377 0.8979 0.7261 [2 per cell]
Th: 0.3344 0.6637 0.1681 [2 per cell]

---

Compound: AlZn2Br
Source: Alexandria via LeMat-Bulk
Functional: PBE
Structure: relaxed

Values from the calculation:
Raw formation energy in meV/atom: 69
M_tot in Bohr magnetons per cell: 0.0
Energy above the most stable polymorph in this dataset in meV per atom: 262

Unit cell a=3.3607 b=3.3607 c=7.4220 alpha=90.00 beta=90.00 gamma=90.00
Space group P4mm (No. 99)
Asymmetric unit:
Al: 0.0000 0.0000 0.0000 [1 per cell]
Zn: 0.0000 0.0000 0.6036 [1 per cell]
Zn: 0.5000 0.5000 0.7767 [1 per cell]
Br: 0.5000 0.5000 0.2378 [1 per cell]

---

Compound: Be2CoAg
Source: Alexandria via LeMat-Bulk
Functional: PBE
Structure: relaxed

Values from the calculation:
M_tot in Bohr magnetons per cell: 1.5
Energy above the most stable polymorph in this dataset in meV per atom: 328
Formation enthalpy at 0 K in kJ/mol of atoms: 19.9

Unit cell a=3.3458 b=3.3458 c=7.9794 alpha=90.00 beta=90.00 gamma=90.00
Space group I-4m2 (No. 119)
Asymmetric unit:
Be: 0.0000 0.0000 0.0000 [2 per cell]
Be: 0.0000 0.5000 0.2500 [2 per cell]
Co: 0.0000 0.5000 0.7500 [2 per cell]
Ag: 0.0000 0.0000 0.5000 [2 per cell]

---

Compound: SrReSn2As
Source: Alexandria via LeMat-Bulk
Functional: PBE
Structure: relaxed

Values from the calculation:
M_tot in Bohr magnetons per cell: 1.2
Energy above the most stable polymorph in this dataset in meV per atom: 0
Formation enthalpy at 0 K in kJ/mol of atoms: 53.0

Unit cell a=5.5526 b=5.5526 c=4.6769 alpha=90.00 beta=90.00 gamma=90.00
Space group P4/mmm (No. 123)
Asymmetric unit:
Sr: 0.0000 0.0000 0.0000 [1 per cell]
Re: 0.5000 0.5000 0.0000 [1 per cell]
Sn: 0.0000 0.5000 0.5000 [2 per cell]
As: 0.5000 0.5000 0.5000 [1 per cell]

---

Compound: SrMnTeSe2
Source: Alexandria via LeMat-Bulk
Functional: PBE
Structure: relaxed

Values from the calculation:
Raw formation energy in meV/atom: 323
M_tot in Bohr magnetons per cell: 5.0

Unit cell a=5.5625 b=5.5625 c=6.0161 alpha=90.00 beta=90.00 gamma=90.00
Space group P4/mmm (No. 123)
Asymmetric unit:
Sr: 0.0000 0.0000 0.0000 [1 per cell]
Mn: 0.5000 0.5000 0.0000 [1 per cell]
Te: 0.0000 0.0000 0.5000 [1 per cell]
Se: 0.0000 0.5000 0.5000 [2 per cell]

---

Compound: Pr3AlSi
Source: Alexandria via LeMat-Bulk
Functional: PBE
Structure: relaxed

Values from the calculation:
Raw formation energy in meV/atom: -365
M_tot in Bohr magnetons per cell: 0.0

Unit cell a=4.2295 b=7.9928 c=8.8028 alpha=87.47 beta=89.92 gamma=74.81
Space group P-1 (No. 2)
Asymmetric unit:
Pr: 0.0471 0.4053 0.1692 [2 per cell]
Pr: 0.2365 0.0263 0.8239 [2 per cell]
Pr: 0.4079 0.6802 0.4095 [2 per cell]
Al: 0.2082 0.0853 0.4364 [2 per cell]
Si: 0.3931 0.7136 0.0656 [2 per cell]

---

Compound: NaEr2CuSe4
Source: Alexandria via LeMat-Bulk
Functional: PBE
Structure: relaxed

Values from the calculation:
Raw formation energy in meV/atom: -1458
M_tot in Bohr magnetons per cell: 0.0

Unit cell a=4.0280 b=13.5057 c=14.2181 alpha=90.00 beta=90.00 gamma=90.00
Space group Cmcm (No. 63)
Asymmetric unit:
Na: 0.0000 0.1185 0.2500 [4 per cell]
Er: 0.0000 0.3655 0.0679 [8 per cell]
Cu: 0.0000 0.1551 0.7500 [4 per cell]
Se: 0.0000 0.0000 0.0000 [4 per cell]
Se: 0.0000 0.2716 0.6156 [8 per cell]
Se: 0.0000 0.4494 0.2500 [4 per cell]